(1)
DFT (PBE) results for crystalline Tb2YTl at its relaxed geometry.

a b c (Å): 3.6669 6.6341 10.3497
angles (deg): 90.00 90.00 106.05
Closest atoms and distances in Å follow each position.
Fractional positions:
Tb 0.6307 0.2622 0.0330  3 Tl 3.24-3.33, 3 Tb 3.41-3.61, 1 Y 3.63
Tb 0.3693 0.7378 0.5330  3 Tl 3.24-3.33, 3 Tb 3.41-3.61, 1 Y 3.63
Y 0.0404 0.0807 0.7500  3 Tl 3.29-3.64, 8 Tb 3.63-3.64, 2 Y 3.67
Tl 0.7549 0.5099 0.7500  6 Tb 3.24-3.33, 2 Y 3.29
Tl 0.2451 0.4901 0.2500  6 Tb 3.24-3.33, 2 Y 3.29
Tb 0.6307 0.2622 0.4670  3 Tl 3.24-3.33, 3 Tb 3.41-3.61, 1 Y 3.63
Y 0.9596 0.9193 0.2500  3 Tl 3.29-3.64, 8 Tb 3.63-3.64, 2 Y 3.67
Tb 0.3693 0.7378 0.9670  3 Tl 3.24-3.33, 3 Tb 3.41-3.61, 1 Y 3.63

* energy of formation from the pure elements: -0.17 eV/atom
* total energy: -4.69 eV/atom
* energy relative to the lowest polymorph listed for this composition: 0.0288 eV/atom
* D(E_F): 1.32 states/eV per atom

---

(2)
DFT (PBE) results for crystalline KVIn2 at its relaxed geometry.

a b c (Å): 5.2542 5.2542 5.2542
angles (deg): 60.00 60.00 60.00
Closest atoms and distances in Å follow each position.
Fractional positions:
In 0.2500 0.2500 0.2500  4 V 3.22, 4 K 3.22
K 0.0000 0.0000 0.0000  8 In 3.22
In 0.7500 0.7500 0.7500  4 V 3.22, 4 K 3.22
V 0.5000 0.5000 0.5000  8 In 3.22

* energy of formation from the pure elements: 0.50 eV/atom
* total energy: -3.43 eV/atom
* energy relative to the lowest polymorph listed for this composition: 0.0000 eV/atom
* D(E_F): 1.18 states/eV per atom

---

(3)
DFT (PBE) results for crystalline KAs2Ir at its relaxed geometry.

a b c (Å): 2.7480 5.9424 5.9281
angles (deg): 54.69 90.00 90.00
Closest atoms and distances in Å follow each position.
Fractional positions:
As 0.5000 0.5000 0.0000  2 As 2.75, 2 Ir 2.96, 4 K 3.05
K 0.0000 0.0000 0.5000  2 K 2.75, 6 As 2.96-3.05
As 0.0000 0.0000 0.0000  2 As 2.75, 2 K 2.96, 4 Ir 3.05
Ir 0.5000 0.5000 0.5000  2 Ir 2.75, 6 As 2.96-3.05

* energy of formation from the pure elements: 0.61 eV/atom
* total energy: -4.21 eV/atom
* energy relative to the lowest polymorph listed for this composition: 0.9163 eV/atom
* D(E_F): 0.70 states/eV per atom

---

(4)
DFT (PBE) results for crystalline Ac6Ge5O at its relaxed geometry.

a b c (Å): 7.7320 7.7511 7.7269
angles (deg): 59.90 80.48 70.74
Closest atoms and distances in Å follow each position.
Fractional positions:
O 0.0000 0.0000 0.0000  6 Ac 2.92-2.94
Ac 0.7651 0.7729 0.0000  1 O 2.92, 4 Ge 3.19-3.24
Ge 0.5000 0.5000 0.0000  6 Ac 3.15-3.40
Ac 0.2355 0.9214 0.6914  1 O 2.94, 5 Ge 3.15-3.29
Ac 0.2349 0.2271 0.0000  1 O 2.92, 4 Ge 3.19-3.24
Ge 0.5000 0.1764 0.6471  6 Ac 3.16-3.29
Ac 0.2355 0.6127 0.3086  1 O 2.94, 5 Ge 3.15-3.29
Ac 0.7645 0.0786 0.3086  1 O 2.94, 5 Ge 3.15-3.29
Ge 0.5000 0.8236 0.3529  6 Ac 3.16-3.29
Ge 0.0000 0.6662 0.6676  6 Ac 3.18-3.19
Ge 0.0000 0.3338 0.3324  6 Ac 3.18-3.19
Ac 0.7645 0.3873 0.6914  1 O 2.94, 5 Ge 3.15-3.29

* total energy: -5.26 eV/atom
* D(E_F): 0.87 states/eV per atom
* raw formation energy: -10.42 eV/f.u.

---

(5)
DFT (PBE) results for crystalline Y4ZnRu at its relaxed geometry.

a b c (Å): 6.2497 7.5257 7.5257
angles (deg): 111.49 98.64 98.64
Closest atoms and distances in Å follow each position.
Fractional positions:
Y 0.4610 0.7242 0.0696  2 Ru 2.76-2.81, 1 Zn 3.07
Y 0.0870 0.3735 0.2123  2 Ru 2.96-3.10, 2 Zn 3.13
Y 0.9130 0.6265 0.7877  2 Ru 2.96-3.10, 2 Zn 3.13
Y 0.5390 0.2758 0.9304  2 Ru 2.76-2.81, 1 Zn 3.07
Y 0.9610 0.0696 0.7242  2 Ru 2.76-2.81, 1 Zn 3.07
Zn 0.7500 0.6267 0.3733  8 Y 3.07-3.32
Ru 0.7500 0.0020 0.9980  6 Y 2.76-2.96
Y 0.5870 0.2123 0.3735  2 Ru 2.96-3.10, 2 Zn 3.13
Zn 0.2500 0.3733 0.6267  8 Y 3.07-3.32
Y 0.4130 0.7877 0.6265  2 Ru 2.96-3.10, 2 Zn 3.13
Ru 0.2500 0.9980 0.0020  6 Y 2.76-2.96
Y 0.0390 0.9304 0.2758  2 Ru 2.76-2.81, 1 Zn 3.07

* energy of formation from the pure elements: -0.28 eV/atom
* total energy: -6.35 eV/atom
* energy relative to the lowest polymorph listed for this composition: 0.0000 eV/atom
* D(E_F): 0.98 states/eV per atom

---

(6)
DFT (PBE) results for crystalline SbS2NCl at its relaxed geometry.

a b c (Å): 4.4535 4.4535 4.1777
angles (deg): 90.00 90.00 90.00
Closest atoms and distances in Å follow each position.
Fractional positions:
S 0.5000 0.0000 0.0000  2 N 2.23
Sb 0.5000 0.5000 0.5000  8 S 3.05, 4 Cl 3.15
Cl 0.0000 0.0000 0.5000  2 N 2.09
N 0.0000 0.0000 0.0000  2 Cl 2.09, 4 S 2.23
S 0.0000 0.5000 0.0000  2 N 2.23

* total energy: -3.64 eV/atom
* energy relative to the lowest polymorph listed for this composition: 0.0000 eV/atom
* D(E_F): 0.05 states/eV per atom
* raw formation energy: 4.32 eV/f.u.

---

(7)
DFT (PBE) results for crystalline NdTh2Fe at its relaxed geometry.

a b c (Å): 3.7696 3.7696 10.3065
angles (deg): 79.46 79.46 60.00
Closest atoms and distances in Å follow each position.
Fractional positions:
Nd 0.0000 0.0000 0.0000  2 Th 3.49, 6 Nd 3.77
Fe 0.5000 0.5000 0.5000  6 Th 2.67
Th 0.1154 0.1154 0.6539  3 Fe 2.67
Th 0.8846 0.8846 0.3461  3 Fe 2.67

* energy of formation from the pure elements: 0.20 eV/atom
* total energy: -6.82 eV/atom
* energy relative to the lowest polymorph listed for this composition: 0.2396 eV/atom
* D(E_F): 1.36 states/eV per atom

---

(8)
DFT (PBE) results for crystalline HfPa5S6 at its relaxed geometry.

a b c (Å): 6.6762 6.6762 6.7167
angles (deg): 99.60 99.60 120.64
Closest atoms and distances in Å follow each position.
Fractional positions:
Pa 0.1699 0.8301 0.5000  6 S 2.73-2.80
S 0.4009 0.0795 0.2398  1 Hf 2.62, 5 Pa 2.72-2.80
Hf 0.0000 0.0000 0.0000  6 S 2.62-2.64
S 0.0795 0.4009 0.2398  1 Hf 2.62, 5 Pa 2.72-2.80
S 0.2387 0.2387 0.7541  1 Hf 2.64, 5 Pa 2.73-2.81
Pa 0.8301 0.1699 0.5000  6 S 2.73-2.80
Pa 0.6663 0.3337 0.0000  6 S 2.72-2.74
S 0.9205 0.5991 0.7602  1 Hf 2.62, 5 Pa 2.72-2.80
S 0.7613 0.7613 0.2459  1 Hf 2.64, 5 Pa 2.73-2.81
S 0.5991 0.9205 0.7602  1 Hf 2.62, 5 Pa 2.72-2.80
Pa 0.5000 0.5000 0.5000  6 S 2.73-2.81
Pa 0.3337 0.6663 0.0000  6 S 2.72-2.74

* total energy: -8.39 eV/atom
* D(E_F): 1.49 states/eV per atom
* raw formation energy: -18.47 eV/f.u.

---

(9)
DFT (PBE) results for crystalline KNaSr2Pt at its relaxed geometry.

a b c (Å): 5.9333 5.9333 6.4171
angles (deg): 90.00 90.00 90.00
Closest atoms and distances in Å follow each position.
Fractional positions:
Sr 0.0000 0.5000 0.0000  2 Pt 2.97
Na 0.5000 0.5000 0.5000  4 K 4.20, 8 Sr 4.37
Sr 0.5000 0.0000 0.0000  2 Pt 2.97
Pt 0.0000 0.0000 0.0000  4 Sr 2.97, 2 K 3.21
K 0.0000 0.0000 0.5000  2 Pt 3.21

* energy of formation from the pure elements: -0.25 eV/atom
* total energy: -2.61 eV/atom
* energy relative to the lowest polymorph listed for this composition: 0.0190 eV/atom
* D(E_F): 0.72 states/eV per atom

---

(10)
DFT (PBE) results for crystalline Tm10Bi3Sb3 at its relaxed geometry.

a b c (Å): 6.2659 8.9572 8.9572
angles (deg): 120.00 90.00 90.00
Closest atoms and distances in Å follow each position.
Fractional positions:
Tm 0.0000 0.2447 0.0000  3 Sb 3.04-3.29, 2 Bi 3.40
Sb 0.0000 0.3881 0.3881  9 Tm 3.04-3.39
Tm 0.5000 0.2428 0.2428  3 Bi 3.07-3.28, 2 Sb 3.39
Bi 0.5000 0.3916 0.0000  9 Tm 3.07-3.40
Tm 0.5000 0.7572 0.0000  3 Bi 3.07-3.28, 2 Sb 3.39
Sb 0.0000 0.0000 0.6119  9 Tm 3.04-3.39
Sb 0.0000 0.6119 0.0000  9 Tm 3.04-3.39
Tm 0.0000 0.7553 0.7553  3 Sb 3.04-3.29, 2 Bi 3.40
Bi 0.5000 0.6084 0.6084  9 Tm 3.07-3.40
Tm 0.2457 0.3333 0.6667  2 Tm 3.08-3.19, 3 Sb 3.17, 3 Bi 3.19
Tm 0.7543 0.6667 0.3333  2 Tm 3.08-3.19, 3 Sb 3.17, 3 Bi 3.19
Tm 0.2457 0.6667 0.3333  2 Tm 3.08-3.19, 3 Sb 3.17, 3 Bi 3.19
Bi 0.5000 0.0000 0.3916  9 Tm 3.07-3.40
Tm 0.7543 0.3333 0.6667  2 Tm 3.08-3.19, 3 Sb 3.17, 3 Bi 3.19
Tm 0.5000 0.0000 0.7572  3 Bi 3.07-3.28, 2 Sb 3.39
Tm 0.0000 0.0000 0.2447  3 Sb 3.04-3.29, 2 Bi 3.40

* total energy: -5.02 eV/atom
* D(E_F): 0.94 states/eV per atom
* raw formation energy: -11.65 eV/f.u.

---

(11)
DFT (PBE) results for crystalline Rb2CS at its relaxed geometry.

a b c (Å): 6.5659 6.5659 9.8936
angles (deg): 70.62 70.62 90.00
Closest atoms and distances in Å follow each position.
Fractional positions:
Rb 0.8750 0.8662 0.7500  2 C 3.16, 2 S 3.22
S 0.0000 0.0000 0.0000  4 Rb 3.22
Rb 0.1338 0.6250 0.2500  2 C 3.16, 2 S 3.22
Rb 0.3750 0.3838 0.7500  2 C 3.16, 2 S 3.22
C 0.5000 0.5000 0.0000  4 Rb 3.16
Rb 0.6162 0.1250 0.2500  2 C 3.16, 2 S 3.22
C 0.2500 0.7500 0.5000  4 Rb 3.16
S 0.7500 0.2500 0.5000  4 Rb 3.22

* total energy: -2.76 eV/atom
* energy relative to the lowest polymorph listed for this composition: 0.1674 eV/atom
* D(E_F): 2.19 states/eV per atom
* raw formation energy: 4.25 eV/f.u.

---

(12)
DFT (PBE) results for crystalline TaAlNi2 at its relaxed geometry.

a b c (Å): 8.6260 8.6260 8.6260
angles (deg): 18.39 18.39 18.39
Closest atoms and distances in Å follow each position.
Fractional positions:
Ni 0.2550 0.2550 0.2550  9 Ni 2.55-2.76, 3 Ta 2.68
Al 0.7415 0.7415 0.7415  3 Ni 2.48, 6 Al 2.76
Ni 0.9999 0.9999 0.9999  3 Al 2.48, 9 Ni 2.55-2.76
Ta 0.5037 0.5037 0.5037  3 Ni 2.68, 6 Ta 2.76, 3 Al 2.90

* energy of formation from the pure elements: -0.05 eV/atom
* total energy: -6.84 eV/atom
* D(E_F): 0.48 states/eV per atom